(1)
An optimized crystal structure of Np2AgCl8. Source: Alexandria via LeMat-Bulk, functional PBE-GGA.

As for the uncorrected formation energy: -1.355 eV/atom. The value obtained for the total energy is -5.310 eV per atom. The space group is C2/m (12). The calculation puts the spin magnetization at 7.00 μB/f.u. Its energy above the most stable polymorph in this dataset is 3.5 kJ per mole of atoms.

Cell: 8.576 8.576 5.440 Å, 90.46 90.46 58.84°
Sites, in units of the cell vectors:
Np: 0.210 0.210 0.084
Np: 0.790 0.790 0.916
Ag: 0.500 0.500 0.000
Cl: 0.056 0.056 0.260
Cl: 0.157 0.560 0.076
Cl: 0.250 0.250 0.574
Cl: 0.440 0.843 0.924
Cl: 0.560 0.157 0.076
Cl: 0.750 0.750 0.426
Cl: 0.843 0.440 0.924
Cl: 0.944 0.944 0.740

***

(2)
An optimized crystal structure of NpAg3Cl9. Source: Alexandria via LeMat-Bulk, functional PBE-GGA.

As for the uncorrected formation energy: -0.864 eV/atom. The value obtained for the total energy is -3.796 eV per atom. The space group is Cc (9). The calculation puts the spin magnetization at 1.05 μB/f.u.

Cell: 10.126 10.126 13.889 Å, 124.42 124.42 54.73°
Sites, in units of the cell vectors:
Np: 0.166 0.834 0.500
Np: 0.834 0.166 0.000
Ag: 0.153 0.490 0.829
Ag: 0.490 0.153 0.329
Ag: 0.598 0.795 0.438
Ag: 0.673 0.979 0.088
Ag: 0.795 0.598 0.938
Ag: 0.979 0.673 0.588
Cl: 0.052 0.921 0.660
Cl: 0.085 0.446 0.945
Cl: 0.116 0.140 0.574
Cl: 0.140 0.116 0.074
Cl: 0.212 0.527 0.426
Cl: 0.257 0.515 0.726
Cl: 0.276 0.754 0.345
Cl: 0.446 0.085 0.445
Cl: 0.463 0.779 0.655
Cl: 0.515 0.257 0.226
Cl: 0.520 0.784 0.959
Cl: 0.527 0.212 0.926
Cl: 0.754 0.276 0.845
Cl: 0.779 0.463 0.155
Cl: 0.784 0.520 0.459
Cl: 0.864 0.885 0.343
Cl: 0.885 0.864 0.843
Cl: 0.921 0.052 0.160

***

(3)
An optimized crystal structure of NpAg3Cl7. Source: Alexandria via LeMat-Bulk, functional PBE-GGA.

As for the uncorrected formation energy: -0.966 eV/atom. The value obtained for the total energy is -4.095 eV per atom. The space group is Cm (8). The calculation puts the spin magnetization at 3.00 μB/f.u.

Cell: 7.678 7.678 8.794 Å, 123.66 123.66 60.07°
Sites, in units of the cell vectors:
Np: 0.000 0.000 0.000
Ag: 0.306 0.828 0.574
Ag: 0.505 0.505 0.904
Ag: 0.828 0.306 0.574
Cl: 0.050 0.050 0.350
Cl: 0.074 0.574 0.863
Cl: 0.416 0.927 0.133
Cl: 0.453 0.453 0.565
Cl: 0.574 0.074 0.863
Cl: 0.927 0.416 0.133
Cl: 0.955 0.955 0.663

***

(4)
An optimized crystal structure of Np2AgCl8. Source: Alexandria via LeMat-Bulk, functional PBE-GGA.

As for the uncorrected formation energy: -1.391 eV/atom. The value obtained for the total energy is -5.347 eV per atom. The space group is C2/m (12). The calculation puts the spin magnetization at 7.00 μB/f.u. Its energy above the most stable polymorph in this dataset is 0.0 kJ per mole of atoms.

Cell: 7.279 7.279 5.654 Å, 97.87 97.87 108.77°
Sites, in units of the cell vectors:
Np: 0.188 0.812 0.000
Np: 0.812 0.188 0.000
Ag: 0.500 0.500 0.500
Cl: 0.105 0.105 0.287
Cl: 0.159 0.425 0.893
Cl: 0.285 0.715 0.500
Cl: 0.425 0.159 0.893
Cl: 0.575 0.841 0.107
Cl: 0.715 0.285 0.500
Cl: 0.841 0.575 0.107
Cl: 0.895 0.895 0.713

***

(5)
An optimized crystal structure of NpAg2Cl4O2. Source: Alexandria via LeMat-Bulk, functional PBE-GGA.

As for the uncorrected formation energy: -1.325 eV/atom. The value obtained for the total energy is -5.319 eV per atom. The space group is C2/m (12). The calculation puts the spin magnetization at 1.00 μB/f.u.

Cell: 7.459 7.459 5.691 Å, 91.25 91.25 60.90°
Sites, in units of the cell vectors:
Np: 0.000 0.000 0.000
Ag: 0.270 0.270 0.024
Ag: 0.730 0.730 0.976
Cl: 0.110 0.623 0.813
Cl: 0.377 0.890 0.187
Cl: 0.623 0.110 0.813
Cl: 0.890 0.377 0.187
O: 0.074 0.074 0.740
O: 0.926 0.926 0.260

***

(6)
An optimized crystal structure of NpAg2Cl3O3. Source: Alexandria via LeMat-Bulk, functional PBE-GGA.

As for the uncorrected formation energy: -1.168 eV/atom. The value obtained for the total energy is -5.508 eV per atom. The space group is P-62m (189). The calculation puts the spin magnetization at 0.35 μB/f.u.

Cell: 7.523 7.523 3.204 Å, 90.00 90.00 120.00°
Sites, in units of the cell vectors:
Np: 0.000 0.000 0.000
Ag: 0.333 0.667 0.500
Ag: 0.667 0.333 0.500
Cl: 0.000 0.581 0.000
Cl: 0.419 0.419 0.000
Cl: 0.581 0.000 0.000
O: 0.000 0.185 0.500
O: 0.185 0.000 0.500
O: 0.815 0.815 0.500

***

(7)
An optimized crystal structure of Rb2NpAgCl6. Source: Alexandria via LeMat-Bulk, functional PBE-GGA.

As for the uncorrected formation energy: -1.587 eV/atom. The value obtained for the total energy is -4.467 eV per atom. The space group is P2_1/c (14). The calculation puts the spin magnetization at 4.00 μB/f.u.

Cell: 7.521 7.824 13.023 Å, 90.00 124.78 90.00°
Sites, in units of the cell vectors:
Rb: 0.234 0.059 0.250
Rb: 0.234 0.441 0.750
Rb: 0.766 0.559 0.250
Rb: 0.766 0.941 0.750
Np: 0.500 0.000 0.000
Np: 0.500 0.500 0.500
Ag: 0.000 0.000 0.500
Ag: 0.000 0.500 0.000
Cl: 0.167 0.201 0.958
Cl: 0.167 0.299 0.458
Cl: 0.264 0.711 0.962
Cl: 0.264 0.789 0.462
Cl: 0.328 0.019 0.750
Cl: 0.328 0.481 0.250
Cl: 0.672 0.519 0.750
Cl: 0.672 0.981 0.250
Cl: 0.736 0.211 0.538
Cl: 0.736 0.289 0.038
Cl: 0.833 0.701 0.542
Cl: 0.833 0.799 0.042

***

(8)
An optimized crystal structure of NpAg2S2Cl2. Source: Alexandria via LeMat-Bulk, functional PBE-GGA.

As for the uncorrected formation energy: -0.792 eV/atom. The value obtained for the total energy is -5.162 eV per atom. The space group is P-1 (2). The calculation puts the spin magnetization at 3.00 μB/f.u.

Cell: 4.341 6.952 7.560 Å, 113.95 105.31 91.42°
Sites, in units of the cell vectors:
Np: 0.000 0.000 0.000
Ag: 0.314 0.613 0.628
Ag: 0.686 0.387 0.372
S: 0.115 0.408 0.215
S: 0.885 0.592 0.785
Cl: 0.407 0.068 0.792
Cl: 0.593 0.932 0.208

***

(9)
An optimized crystal structure of NpAgSnCl6. Source: Alexandria via LeMat-Bulk, functional PBE-GGA.

As for the uncorrected formation energy: -1.175 eV/atom. The value obtained for the total energy is -4.606 eV per atom. The space group is P-31c (163). The calculation puts the spin magnetization at 4.00 μB/f.u.

Cell: 6.880 6.880 12.991 Å, 90.00 90.00 120.00°
Sites, in units of the cell vectors:
Np: 0.333 0.667 0.250
Np: 0.667 0.333 0.750
Ag: 0.333 0.667 0.750
Ag: 0.667 0.333 0.250
Sn: 0.000 0.000 0.000
Sn: 0.000 0.000 0.500
Cl: 0.006 0.345 0.127
Cl: 0.006 0.660 0.373
Cl: 0.340 0.345 0.373
Cl: 0.340 0.994 0.127
Cl: 0.345 0.006 0.627
Cl: 0.345 0.340 0.873
Cl: 0.655 0.660 0.127
Cl: 0.655 0.994 0.373
Cl: 0.660 0.006 0.873
Cl: 0.660 0.655 0.627
Cl: 0.994 0.340 0.627
Cl: 0.994 0.655 0.873

***

(10)
An optimized crystal structure of SrNpAgCl6. Source: Alexandria via LeMat-Bulk, functional PBE-GGA.

As for the uncorrected formation energy: -1.640 eV/atom. The value obtained for the total energy is -4.813 eV per atom. The space group is P-31c (163). The calculation puts the spin magnetization at 4.00 μB/f.u.

Cell: 7.238 7.238 11.968 Å, 90.00 90.00 120.00°
Sites, in units of the cell vectors:
Sr: 0.333 0.667 0.250
Sr: 0.667 0.333 0.750
Np: 0.333 0.667 0.750
Np: 0.667 0.333 0.250
Ag: 0.000 0.000 0.000
Ag: 0.000 0.000 0.500
Cl: 0.019 0.346 0.625
Cl: 0.019 0.673 0.875
Cl: 0.327 0.346 0.875
Cl: 0.327 0.981 0.625
Cl: 0.346 0.019 0.125
Cl: 0.346 0.327 0.375
Cl: 0.654 0.673 0.625
Cl: 0.654 0.981 0.875
Cl: 0.673 0.019 0.375
Cl: 0.673 0.654 0.125
Cl: 0.981 0.327 0.125
Cl: 0.981 0.654 0.375

***

(11)
An optimized crystal structure of NpTl2AgCl6. Source: Alexandria via LeMat-Bulk, functional PBE-GGA.

As for the uncorrected formation energy: -1.193 eV/atom. The value obtained for the total energy is -4.353 eV per atom. The space group is P2_1/c (14). The calculation puts the spin magnetization at 4.00 μB/f.u.

Cell: 7.380 7.791 12.789 Å, 90.00 124.39 90.00°
Sites, in units of the cell vectors:
Np: 0.000 0.000 0.000
Np: 0.000 0.500 0.500
Tl: 0.272 0.072 0.750
Tl: 0.272 0.428 0.250
Tl: 0.728 0.572 0.750
Tl: 0.728 0.928 0.250
Ag: 0.500 0.000 0.500
Ag: 0.500 0.500 0.000
Cl: 0.153 0.025 0.250
Cl: 0.153 0.475 0.750
Cl: 0.236 0.705 0.045
Cl: 0.236 0.795 0.545
Cl: 0.348 0.195 0.049
Cl: 0.348 0.305 0.549
Cl: 0.652 0.695 0.451
Cl: 0.652 0.805 0.951
Cl: 0.764 0.205 0.455
Cl: 0.764 0.295 0.955
Cl: 0.847 0.525 0.250
Cl: 0.847 0.975 0.750

***

(12)
An optimized crystal structure of NpTlAg2Cl6. Source: Alexandria via LeMat-Bulk, functional PBE-GGA.

As for the uncorrected formation energy: -1.054 eV/atom. The value obtained for the total energy is -4.263 eV per atom. The space group is R3 (146). The calculation puts the spin magnetization at 4.00 μB/f.u.

Cell: 7.861 7.861 7.861 Å, 55.97 55.97 55.97°
Sites, in units of the cell vectors:
Np: 0.000 0.000 0.000
Tl: 0.507 0.507 0.507
Ag: 0.202 0.202 0.202
Ag: 0.759 0.759 0.759
Cl: 0.066 0.389 0.823
Cl: 0.224 0.952 0.605
Cl: 0.389 0.823 0.066
Cl: 0.605 0.224 0.952
Cl: 0.823 0.066 0.389
Cl: 0.952 0.605 0.224

***

(13)
An optimized crystal structure of NpTlAgCl6. Source: Alexandria via LeMat-Bulk, functional PBE-GGA.

As for the uncorrected formation energy: -1.263 eV/atom. The value obtained for the total energy is -4.512 eV per atom. The space group is P-31c (163). The calculation puts the spin magnetization at 3.00 μB/f.u.

Cell: 6.984 6.984 14.153 Å, 90.00 90.00 120.00°
Sites, in units of the cell vectors:
Np: 0.333 0.667 0.250
Np: 0.667 0.333 0.750
Tl: 0.000 0.000 0.000
Tl: 0.000 0.000 0.500
Ag: 0.333 0.667 0.750
Ag: 0.667 0.333 0.250
Cl: 0.018 0.372 0.142
Cl: 0.018 0.646 0.358
Cl: 0.354 0.372 0.358
Cl: 0.354 0.982 0.142
Cl: 0.372 0.018 0.642
Cl: 0.372 0.354 0.858
Cl: 0.628 0.646 0.142
Cl: 0.628 0.982 0.358
Cl: 0.646 0.018 0.858
Cl: 0.646 0.628 0.642
Cl: 0.982 0.354 0.642
Cl: 0.982 0.628 0.858

***

(14)
An optimized crystal structure of NpTlAg2Cl8. Source: Alexandria via LeMat-Bulk, functional PBE-GGA.

As for the uncorrected formation energy: -1.043 eV/atom. The value obtained for the total energy is -4.024 eV per atom. The space group is P-1 (2). The calculation puts the spin magnetization at 1.98 μB/f.u.

Cell: 6.418 7.203 9.325 Å, 109.39 91.83 98.23°
Sites, in units of the cell vectors:
Np: 0.000 0.000 0.000
Tl: 0.000 0.000 0.500
Ag: 0.471 0.339 0.314
Ag: 0.529 0.661 0.686
Cl: 0.130 0.781 0.752
Cl: 0.166 0.821 0.153
Cl: 0.338 0.257 0.041
Cl: 0.440 0.273 0.559
Cl: 0.560 0.727 0.441
Cl: 0.662 0.743 0.959
Cl: 0.834 0.179 0.847
Cl: 0.870 0.219 0.248

***

(15)
An optimized crystal structure of NpTl3Ag2Cl9. Source: Alexandria via LeMat-Bulk, functional PBE-GGA.

As for the uncorrected formation energy: -1.070 eV/atom. The value obtained for the total energy is -3.894 eV per atom. The space group is P-3m1 (164). The calculation puts the spin magnetization at 3.00 μB/f.u.

Cell: 7.568 7.568 9.404 Å, 90.00 90.00 120.00°
Sites, in units of the cell vectors:
Np: 0.000 0.000 0.000
Tl: 0.000 0.000 0.500
Tl: 0.333 0.667 0.266
Tl: 0.667 0.333 0.734
Ag: 0.333 0.667 0.668
Ag: 0.667 0.333 0.332
Cl: 0.000 0.500 0.500
Cl: 0.160 0.320 0.833
Cl: 0.160 0.840 0.833
Cl: 0.320 0.160 0.167
Cl: 0.500 0.000 0.500
Cl: 0.500 0.500 0.500
Cl: 0.680 0.840 0.833
Cl: 0.840 0.160 0.167
Cl: 0.840 0.680 0.167

***

(16)
An optimized crystal structure of Ag4Cl5O. Source: Alexandria via LeMat-Bulk, functional PBE-GGA.

As for the uncorrected formation energy: -0.214 eV/atom. The value obtained for the total energy is -2.773 eV per atom. The space group is C2/m (12). The calculation puts the spin magnetization at 0.01 μB/f.u.

Cell: 7.875 7.875 7.501 Å, 105.40 105.40 28.67°
Sites, in units of the cell vectors:
Ag: 0.002 0.002 0.259
Ag: 0.347 0.347 0.413
Ag: 0.653 0.653 0.587
Ag: 0.998 0.998 0.741
Cl: 0.165 0.165 0.827
Cl: 0.170 0.170 0.337
Cl: 0.500 0.500 0.000
Cl: 0.830 0.830 0.663
Cl: 0.835 0.835 0.173
O: 0.500 0.500 0.500

***

(17)
An optimized crystal structure of Ag7ClO4. Source: Alexandria via LeMat-Bulk, functional PBE-GGA.

As for the uncorrected formation energy: -0.019 eV/atom. The value obtained for the total energy is -3.489 eV per atom. The space group is C2/m (12). The calculation puts the spin magnetization at 0.00 μB/f.u.

Cell: 5.462 5.462 10.472 Å, 102.31 102.31 52.20°
Sites, in units of the cell vectors:
Ag: 0.000 0.000 0.000
Ag: 0.164 0.164 0.692
Ag: 0.174 0.174 0.397
Ag: 0.463 0.463 0.250
Ag: 0.537 0.537 0.750
Ag: 0.826 0.826 0.603
Ag: 0.836 0.836 0.308
Cl: 0.500 0.500 0.000
O: 0.006 0.006 0.221
O: 0.321 0.321 0.589
O: 0.679 0.679 0.411
O: 0.994 0.994 0.779

***

(18)
An optimized crystal structure of Ag8ClO6. Source: Alexandria via LeMat-Bulk, functional PBE-GGA.

As for the uncorrected formation energy: 0.077 eV/atom. The value obtained for the total energy is -3.550 eV per atom. The space group is R-3 (148). The calculation puts the spin magnetization at 3.40 μB/f.u.

Cell: 6.612 6.612 6.612 Å, 103.48 103.48 103.48°
Sites, in units of the cell vectors:
Ag: 0.179 0.622 0.819
Ag: 0.181 0.821 0.378
Ag: 0.188 0.188 0.188
Ag: 0.378 0.181 0.821
Ag: 0.622 0.819 0.179
Ag: 0.812 0.812 0.812
Ag: 0.819 0.179 0.622
Ag: 0.821 0.378 0.181
Cl: 0.500 0.500 0.500
O: 0.104 0.852 0.670
O: 0.148 0.330 0.896
O: 0.330 0.896 0.148
O: 0.670 0.104 0.852
O: 0.852 0.670 0.104
O: 0.896 0.148 0.330

***

(19)
An optimized crystal structure of Ag6ClO2. Source: Alexandria via LeMat-Bulk, functional PBE-GGA.

As for the uncorrected formation energy: -0.007 eV/atom. The value obtained for the total energy is -3.214 eV per atom. The space group is C2/m (12). The calculation puts the spin magnetization at 0.00 μB/f.u.

Cell: 6.465 6.465 7.747 Å, 122.31 122.31 38.38°
Sites, in units of the cell vectors:
Ag: 0.036 0.036 0.206
Ag: 0.320 0.320 0.477
Ag: 0.325 0.325 0.900
Ag: 0.675 0.675 0.100
Ag: 0.680 0.680 0.523
Ag: 0.964 0.964 0.794
Cl: 0.000 0.000 0.500
O: 0.194 0.194 0.100
O: 0.806 0.806 0.900